PBE Hf2HgSe, relaxed; calculated volume = 21.4 Å³/atom; E above lowest polymorph = 0.0 meV per atom; formation energy (no corrections) = -0.393 eV per atom
1.0
3.646 0.000 0.000
1.823 3.158 0.000
1.823 1.053 7.447
Hf Hg Se
2 1 1
direct
0.738 0.738 0.787
0.262 0.262 0.213
0.500 0.500 0.500
0.000 0.000 0.000

=====

PBE Ca, relaxed; calculated volume = 42.6 Å³/atom; E above lowest polymorph = 390.4 meV per atom; formation energy from the elements = 38 kJ/mol of atoms
1.0
3.493 0.000 0.000
0.000 3.493 0.000
0.000 0.000 3.493
Ca
1
direct
0.000 0.000 0.000

=====

PBE LiZrPaOs, relaxed; calculated volume = 19.4 Å³/atom; formation energy from the elements = -6 kJ/mol of atoms
1.0
4.787 0.000 0.000
2.394 4.146 0.000
2.394 1.382 3.909
Li Pa Os Zr
1 1 1 1
direct
0.000 0.000 0.000
0.750 0.750 0.750
0.500 0.500 0.500
0.250 0.250 0.250

=====

PBE La2DyAs4Rh3, relaxed; calculated volume = 20.8 Å³/atom; formation energy from the elements = -100 kJ/mol of atoms
1.0
-2.929 -2.826 1.591
-0.210 -1.973 -3.893
8.076 -6.703 2.962
As Rh La Dy
4 3 2 1
direct
0.000 0.000 0.000
0.500 0.000 0.662
0.000 0.500 0.338
0.500 0.500 0.000
0.000 0.000 0.500
0.500 0.000 0.892
0.000 0.500 0.108
0.000 0.500 0.778
0.500 0.000 0.222
0.500 0.500 0.500

=====

PBE SrYOs2, relaxed; calculated volume = 21.0 Å³/atom; E above lowest polymorph = 663.5 meV per atom; formation energy from the elements = 77 kJ/mol of atoms
1.0
-8.792 -1.970 2.768
-7.495 -4.938 2.880
-7.154 -2.923 5.397
Sr Os Y
1 2 1
direct
0.750 0.750 0.750
0.995 0.995 0.995
0.505 0.505 0.505
0.250 0.250 0.250

=====

PBE SiAgIr, relaxed; calculated volume = 15.7 Å³/atom; E above lowest polymorph = 0.0 meV per atom; formation energy (no corrections) = -0.115 eV per atom
1.0
4.110 0.000 0.000
-2.055 3.559 0.000
0.000 0.000 3.224
Ag Si Ir
1 1 1
direct
0.000 0.000 0.000
0.333 0.667 0.500
0.667 0.333 0.500

=====

PBE Cu2AgI4, relaxed; calculated volume = 33.6 Å³/atom; formation energy (no corrections) = -0.180 eV per atom
1.0
-0.394 5.106 3.187
-4.688 -2.263 3.046
4.045 -2.442 4.413
Ag I Cu
1 4 2
direct
0.000 0.000 0.000
0.738 0.262 0.733
0.262 0.262 0.267
0.738 0.738 0.267
0.262 0.738 0.733
0.000 0.500 0.500
0.500 0.000 0.500

=====

PBE TbSnAuS, relaxed; calculated volume = 25.3 Å³/atom; formation energy (no corrections) = -1.023 eV per atom
1.0
4.551 0.000 0.000
2.275 3.941 0.000
2.275 1.314 11.299
Au Tb S Sn
2 2 2 2
direct
0.612 0.612 0.163
0.388 0.388 0.837
0.886 0.886 0.343
0.114 0.114 0.657
0.197 0.197 0.409
0.803 0.803 0.591
0.299 0.299 0.102
0.701 0.701 0.898

=====

PBE Ce2SmCdN, relaxed; calculated volume = 24.0 Å³/atom; formation energy (no corrections) = -0.681 eV per atom
1.0
5.031 0.000 0.000
0.000 4.886 0.000
0.000 0.000 4.886
N Sm Ce Cd
1 1 2 1
direct
0.000 0.000 0.000
0.500 0.000 0.000
0.000 0.000 0.500
0.000 0.500 0.000
0.500 0.500 0.500

=====

PBE MnReHW2, relaxed; calculated volume = 12.1 Å³/atom; total DFT energy (no corrections) = -9.982 eV per atom
1.0
4.070 0.000 0.000
0.000 4.070 0.000
0.000 0.000 3.664
W H Mn Re
2 1 1 1
direct
0.500 0.000 0.000
0.000 0.500 0.000
0.000 0.000 0.000
0.000 0.000 0.500
0.500 0.500 0.500

=====

PBE CdIrBr2, relaxed; calculated volume = 25.1 Å³/atom; E above lowest polymorph = 765.4 meV per atom; formation energy (no corrections) = 0.724 eV per atom
1.0
-1.079 2.869 1.131
-2.974 -0.650 -1.187
-2.349 -4.084 8.118
Br Ir Cd
2 1 1
direct
0.000 0.000 0.920
0.000 0.000 0.580
0.500 0.500 0.750
0.500 0.500 0.250

=====

PBE K2HgRhF6, relaxed; calculated volume = 18.1 Å³/atom; E above lowest polymorph = 0.0 meV per atom; formation energy (no corrections) = -1.956 eV per atom
1.0
6.325 0.004 0.117
0.001 6.345 0.206
3.250 3.324 4.688
K F Rh Hg
2 6 1 1
direct
0.260 0.729 0.500
0.740 0.271 0.500
0.091 0.251 0.063
0.267 0.850 0.039
0.718 0.729 0.439
0.909 0.749 0.937
0.733 0.150 0.961
0.282 0.271 0.561
0.000 0.000 0.000
0.500 0.500 0.000